Entry 1:
Computed, not measured: Ta2Zn2Os after structural relaxation at the GGA-PBE level of DFT.

Energy above the most stable polymorph in this dataset   0.6577 eV/atom
Size of the total moment   0.72 μB per formula unit
Raw total energy   -67.8 eV/cell

CIF file:
```
data_Ta2Zn2Os
_chemical_formula_sum 'Ta4 Zn4 Os2'
_cell_length_a 3.7966
_cell_length_b 3.7966
_cell_length_c 11.5786
_cell_angle_alpha 90.00
_cell_angle_beta 90.00
_cell_angle_gamma 90.00
_symmetry_space_group_name_H-M 'I 4/m m m'
_symmetry_Int_Tables_number 139
_symmetry_space_group_name_Hall '-I 4 2'
loop_
_atom_site_label
_atom_site_fract_x
_atom_site_fract_y
_atom_site_fract_z
Ta1 0.0000 0.5000 0.2500
Zn1 0.0000 0.0000 0.0932
Os1 0.0000 0.0000 0.5000
```

---

Entry 2:
Computed, not measured: Pm12Pt5C3 after structural relaxation at the GGA-PBE level of DFT.

Size of the total moment   0.00 μB per formula unit
Raw total energy   -916.9 eV/cell

CIF file:
```
data_Pm12Pt5C3
_chemical_formula_sum 'Pm96 Pt40 C24'
_cell_length_a 16.4032
_cell_length_b 16.4032
_cell_length_c 16.4032
_cell_angle_alpha 90.00
_cell_angle_beta 90.00
_cell_angle_gamma 90.00
_symmetry_space_group_name_H-M 'I a -3 d'
_symmetry_Int_Tables_number 230
_symmetry_space_group_name_Hall '-I 4bd 2c 3'
loop_
_atom_site_label
_atom_site_fract_x
_atom_site_fract_y
_atom_site_fract_z
Pm1 0.0222 0.0871 0.6480
Pt1 0.0000 0.0000 0.0000
Pt2 0.0000 0.2500 0.3750
C1 0.0000 0.2500 0.1250
```

---

Entry 3:
Computed, not measured: Ta2MnW after structural relaxation at the GGA-PBE level of DFT.

Size of the total moment   0.18 μB per formula unit
Raw total energy   -91.6 eV/cell

CIF file:
```
data_Ta2MnW
_chemical_formula_sum 'Ta4 Mn2 W2'
_cell_length_a 3.2067
_cell_length_b 4.6049
_cell_length_c 8.6131
_cell_angle_alpha 90.00
_cell_angle_beta 90.00
_cell_angle_gamma 90.00
_symmetry_space_group_name_H-M 'C m m m'
_symmetry_Int_Tables_number 65
_symmetry_space_group_name_Hall '-C 2 2'
loop_
_atom_site_label
_atom_site_fract_x
_atom_site_fract_y
_atom_site_fract_z
Ta1 0.0000 0.0000 0.2331
Mn1 0.0000 0.5000 0.0000
W1 0.0000 0.5000 0.5000
```

---

Entry 4:
Computed, not measured: CuSbPd2O8 after structural relaxation at the GGA-PBE level of DFT.

E_form (uncorrected)   -0.1920 eV per atom
Size of the total moment   1.99 μB per formula unit
Raw total energy   -121.1 eV/cell

CIF file:
```
data_CuSbPd2O8
_chemical_formula_sum 'Cu2 Sb2 Pd4 O16'
_cell_length_a 6.4568
_cell_length_b 6.4568
_cell_length_c 6.9197
_cell_angle_alpha 90.00
_cell_angle_beta 90.00
_cell_angle_gamma 90.00
_symmetry_space_group_name_H-M 'I -4 m 2'
_symmetry_Int_Tables_number 119
_symmetry_space_group_name_Hall 'I -4 -2'
loop_
_atom_site_label
_atom_site_fract_x
_atom_site_fract_y
_atom_site_fract_z
Cu1 0.0000 0.0000 0.0000
Sb1 0.0000 0.5000 0.2500
Pd1 0.0000 0.0000 0.5000
Pd2 0.0000 0.5000 0.7500
O1 0.0000 0.1870 0.2844
O2 0.0000 0.3138 0.9726
```